No. 1
VASP calculation (GGA-PBE) on an optimized crystal structure of ThZrPd2.

Results
energy	-28.67	eV per cell
space group	P4/mmm
energy of formation	-578.7	meV/atom

Structure (POSCAR):
```
ThZrPd2
1.0
4.899 0.000 0.000
0.000 4.899 0.000
0.000 0.000 3.566
Th Zr Pd
1 1 2
Cartesian
0.000 0.000 0.000
2.450 2.450 0.000
0.000 2.450 1.783
2.450 0.000 1.783
```

=====

No. 2
VASP calculation (GGA-PBE) on an optimized crystal structure of CeInAu3.

Results
energy	-41.03	eV per cell
space group	C2/m
energy of formation	-402.0	meV/atom

Structure (POSCAR):
```
CeInAu3
1.0
9.235 -2.592 0.000
9.235 2.592 0.000
-1.403 0.000 4.949
Ce In Au
2 2 6
Cartesian
1.576 0.000 1.806
15.491 0.000 3.143
6.687 0.000 0.588
10.381 0.000 4.361
2.377 0.000 4.706
4.594 0.000 2.664
7.684 0.000 3.569
9.383 0.000 1.380
12.473 0.000 2.285
14.690 0.000 0.243
```

=====

No. 3
VASP calculation (GGA-PBE) on an optimized crystal structure of Tb4ScTe7.

Results
energy	-63.01	eV per cell
space group	Cm

Structure (POSCAR):
```
Tb4ScTe7
1.0
7.092 -2.110 0.000
7.092 2.110 0.000
-3.222 0.000 12.672
Tb Sc Te
4 1 7
Cartesian
0.000 0.000 0.000
0.185 0.000 9.649
7.092 0.000 4.777
10.731 0.000 7.186
10.475 0.000 1.845
1.458 0.000 2.768
1.487 0.000 6.605
5.151 0.000 0.952
5.764 0.000 7.839
5.971 0.000 11.758
9.524 0.000 9.975
11.926 0.000 4.393
```